Entry 1:
# Tb4IrBr5 (PBE-GGA, relaxed)
data_Tb4IrBr5
_chemical_formula_sum 'Tb8 Ir2 Br10'
_cell_length_a 18.968
_cell_length_b 4.020
_cell_length_c 8.561
_cell_angle_alpha 90.00
_cell_angle_beta 102.72
_cell_angle_gamma 90.00
_space_group_name_H-M_alt 'C 1 2/m 1'
_space_group_IT_number 12
_space_group_name_Hall '-C 2y'
loop_
_atom_site_label
_atom_site_fract_x
_atom_site_fract_y
_atom_site_fract_z
Tb1 0.002 0.000 0.215
Tb2 0.148 0.500 0.079
Ir1 0.000 0.500 0.000
Br1 0.000 0.500 0.500
Br2 0.169 0.000 0.332
Br3 0.178 0.000 0.846
# total moment	0.00	μB/cell
# energy relative to the elements, uncorrected	-1.476	eV per atom
# VASP energy	-101.02	eV for the cell shown
# D(E_F)	4.2	states/eV/f.u.

Entry 2:
# TbDyLuOs (PBE-GGA, relaxed)
data_TbDyLuOs
_chemical_formula_sum 'Tb4 Dy4 Lu4 Os4'
_cell_length_a 7.215
_cell_length_b 7.215
_cell_length_c 7.215
_cell_angle_alpha 90.00
_cell_angle_beta 90.00
_cell_angle_gamma 90.00
_space_group_name_H-M_alt 'F -4 3 m'
_space_group_IT_number 216
_space_group_name_Hall 'F -4 2 3'
loop_
_atom_site_label
_atom_site_fract_x
_atom_site_fract_y
_atom_site_fract_z
Tb1 0.000 0.000 0.000
Dy1 0.000 0.000 0.500
Lu1 0.250 0.250 0.750
Os1 0.250 0.250 0.250
# energy of formation from the pure elements	99	meV per atom
# total moment	0.00	μB/cell
# VASP energy	-98.35	eV for the cell shown
# D(E_F)	3.3	states/eV/f.u.